DFT (PBE) results for a relaxed structure of SmGdTlPd2.

Results
Magnetization: 0.000 μB/atom
VASP energy: -25.839 eV for the cell shown

a b c (Å): 3.723 7.866 7.866
angles (deg): 30.73 90.00 90.00
Positions (direct):
Gd  0.000  0.366  0.366
Pd  0.500  0.810  0.810
Pd  0.500  0.192  0.192
Tl  0.500  0.999  0.999
Sm  0.000  0.633  0.633

DFT (PBE) results for a relaxed structure of Gd2Sn6Pd.

Results
Magnetization: 0.001 μB/atom
VASP energy: -43.467 eV for the cell shown

a b c (Å): 11.765 11.765 4.485
angles (deg): 90.00 90.00 158.35
Positions (direct):
Gd  0.321  0.679  0.500
Gd  0.679  0.321  0.500
Sn  0.794  0.206  0.000
Sn  0.927  0.073  0.500
Sn  0.426  0.574  0.000
Sn  0.206  0.794  0.000
Sn  0.073  0.927  0.500
Sn  0.574  0.426  0.000
Pd  0.000  0.000  0.000

DFT (PBE) results for a relaxed structure of GdSnPd.

Results
Magnetization: 0.001 μB/atom
VASP energy: -66.468 eV for the cell shown

a b c (Å): 7.287 4.675 7.963
angles (deg): 90.00 90.00 90.00
Positions (direct):
Gd  0.510  0.250  0.206
Gd  0.490  0.750  0.794
Gd  0.990  0.750  0.706
Gd  0.010  0.250  0.294
Sn  0.305  0.750  0.411
Sn  0.805  0.750  0.089
Sn  0.195  0.250  0.911
Sn  0.695  0.250  0.589
Pd  0.702  0.750  0.419
Pd  0.202  0.750  0.081
Pd  0.298  0.250  0.581
Pd  0.798  0.250  0.919

DFT (PBE) results for a relaxed structure of Gd2SnPd.

Results
Magnetization: 0.001 μB/atom
VASP energy: -21.607 eV for the cell shown

a b c (Å): 4.386 6.033 6.033
angles (deg): 39.89 90.00 90.00
Positions (direct):
Gd  0.000  0.140  0.140
Gd  0.500  0.853  0.853
Pd  0.500  0.586  0.586
Sn  0.000  0.421  0.421

DFT (PBE) results for a relaxed structure of SrGdSn2Pd4.

Results
Magnetization: 0.000 μB/atom
VASP energy: -41.340 eV for the cell shown

a b c (Å): 4.613 4.613 9.561
angles (deg): 90.00 90.00 120.00
Positions (direct):
Pd  0.000  0.000  0.304
Pd  0.667  0.333  0.841
Pd  0.000  0.000  0.696
Pd  0.667  0.333  0.159
Gd  0.000  0.000  0.000
Sr  0.667  0.333  0.500
Sn  0.333  0.667  0.763
Sn  0.333  0.667  0.237

DFT (PBE) results for a relaxed structure of Tb2GdSn3Pd3.

Results
Magnetization: 0.001 μB/atom
VASP energy: -49.925 eV for the cell shown

a b c (Å): 4.018 7.560 7.560
angles (deg): 120.02 90.00 90.00
Positions (direct):
Tb  0.000  0.000  0.593
Tb  0.000  0.593  0.000
Pd  0.000  0.000  0.000
Pd  0.500  0.667  0.333
Pd  0.500  0.333  0.667
Gd  0.000  0.408  0.408
Sn  0.500  0.742  0.742
Sn  0.500  0.258  0.000
Sn  0.500  0.000  0.258